Entry from Alexandria: crystalline AlTlCo2Sn at its relaxed geometry (PBE-GGA).

a = 4.873 Å, b = 4.873 Å, c = 5.609 Å
α = 90.00°, β = 90.00°, γ = 90.00°
Space group P4/mmm (No. 123)
Asymmetric unit:
Al 0.000 0.000 0.000 [1 per cell]
Tl 0.500 0.500 0.500 [1 per cell]
Co 0.000 0.500 0.500 [2 per cell]
Sn 0.500 0.500 0.000 [1 per cell]

Values from the calculation:
crystal system = tetragonal
size of the total moment = 3.53 Bohr magnetons per cell
DFT total energy = -3.4287 eV per atom
ΔH_f (0 K) = 1.44 eV/atom

Entry from Alexandria: crystalline AlTl2CoSn at its relaxed geometry (PBE-GGA).

a = 5.324 Å, b = 5.324 Å, c = 5.329 Å
α = 90.00°, β = 90.00°, γ = 90.00°
Space group P4/mmm (No. 123)
Asymmetric unit:
Al 0.000 0.000 0.000 [1 per cell]
Tl 0.000 0.500 0.000 [2 per cell]
Co 0.500 0.500 0.500 [1 per cell]
Sn 0.000 0.000 0.500 [1 per cell]

Values from the calculation:
crystal system = tetragonal
size of the total moment = 1.99 Bohr magnetons per cell
DFT total energy = -2.9671 eV per atom
ΔH_f (0 K) = 0.95 eV/atom

Entry from Alexandria: crystalline SrAl9Co2 at its relaxed geometry (PBE-GGA).

a = 7.8992 Å, b = 7.8992 Å, c = 3.9147 Å
α = 90.00°, β = 90.00°, γ = 120.00°
Space group P6/mmm (No. 191)
Asymmetric unit:
Sr 0.0000 0.0000 0.0000 [1 per cell]
Al 0.0000 0.5000 0.0000 [3 per cell]
Al 0.2138 0.4277 0.5000 [6 per cell]
Co 0.3333 0.6667 0.0000 [2 per cell]

Values from the calculation:
crystal system = hexagonal
size of the total moment = 0.00 Bohr magnetons per cell
DFT total energy = -4.5397 eV per atom
ΔH_f (0 K) = -0.41 eV/atom